VASP calculation (GGA-PBE) on a relaxed Pu3Cu2Ni7 crystal.

Computed properties:
Its formation energy is -203 meV/atom. The calculation puts the magnetic moment at 1.260 μB/atom.

```
data_Pu3Cu2Ni7
_chemical_formula_sum 'Pu3 Cu2 Ni7'
_symmetry_space_group_name_H-M 'P 1'
_symmetry_Int_Tables_number 1
_cell_length_a 8.540
_cell_length_b 8.540
_cell_length_c 8.540
_cell_angle_alpha 34.17
_cell_angle_beta 34.17
_cell_angle_gamma 34.17
loop_
_symmetry_equiv_pos_as_xyz
'x,y,z'
loop_
_atom_site_label
_atom_site_type_symbol
_atom_site_fract_x
_atom_site_fract_y
_atom_site_fract_z
_atom_site_occupancy
Pu1 Pu 0.000 0.000 0.000 1
Pu2 Pu 0.141 0.141 0.141 1
Pu3 Pu 0.859 0.859 0.859 1
Cu1 Cu 0.333 0.333 0.333 1
Cu2 Cu 0.667 0.667 0.667 1
Ni1 Ni 0.082 0.584 0.584 1
Ni2 Ni 0.416 0.416 0.918 1
Ni3 Ni 0.416 0.918 0.416 1
Ni4 Ni 0.500 0.500 0.500 1
Ni5 Ni 0.584 0.082 0.584 1
Ni6 Ni 0.584 0.584 0.082 1
Ni7 Ni 0.918 0.416 0.416 1
```